CsKPuSeS2 after structural relaxation. Source: the Open Quantum Materials Database, functional PBE.

Lattice parameters (Å, degrees): 7.3312 8.3906 8.6179 77.65 74.65 66.80
Each line ends with the local moment (μB).
Element x y z (fractional)
Cs (0.3498, 0.5384, 0.2959)  0.00
Cs (0.6502, 0.4616, 0.7041)  0.00
K (0.0746, 0.1954, 0.1423)  0.00
K (0.9254, 0.8046, 0.8577)  0.00
Pu (0.6495, 0.9279, 0.2977)  4.61
Pu (0.3505, 0.0721, 0.7023)  4.61
S (0.6564, 0.1618, 0.0613)  -0.17
S (0.2829, 0.9721, 0.4625)  -0.14
S (0.7171, 0.0279, 0.5375)  -0.14
S (0.3436, 0.8382, 0.9387)  -0.17
Se (0.8453, 0.5902, 0.2538)  -0.18
Se (0.1547, 0.4098, 0.7462)  -0.18

Calculated density, g/cm3: 3.98
Calculated volume, Å³/atom: 38.9
Uncorrected energy, eV for the cell shown: -69.7
Total moment, μB per cell: 8.0

---

Rb2TcO3 after structural relaxation. Source: the Open Quantum Materials Database, functional PBE.

Lattice parameters (Å, degrees): 6.5837 6.5837 7.3697 90.00 90.00 120.00
Each line ends with the local moment (μB).
Element x y z (fractional)
O (0.1132, 0.3641, 0.2502)  0.06
O (0.6359, 0.7491, 0.2502)  0.06
O (0.2509, 0.8868, 0.2502)  0.06
O (0.7491, 0.1132, 0.7498)  0.06
O (0.3641, 0.2509, 0.7498)  0.06
O (0.8868, 0.6359, 0.7498)  0.06
Rb (0.0000, 0.0000, 0.0000)  0.00
Rb (0.6667, 0.3333, 0.2519)  0.00
Rb (0.0000, 0.0000, 0.5000)  0.00
Rb (0.3333, 0.6667, 0.7481)  0.00
Tc (0.3333, 0.6667, 0.2507)  0.70
Tc (0.6667, 0.3333, 0.7493)  0.70

ΔE to the lowest computed polymorph, meV/atom: 14
Calculated density, g/cm3: 3.80
Calculated volume, Å³/atom: 23.1
Total moment, μB per cell: 2.0

---

TaNbAsO after structural relaxation. Source: the Open Quantum Materials Database, functional PBE.

Lattice parameters (Å, degrees): 3.5924 5.6418 6.1822 90.00 90.00 90.00
Element x y z (fractional)
As (0.0000, 0.1710, 0.2982)
As (0.0000, 0.8290, 0.7982)
Nb (0.5000, 0.8777, 0.1036)
Nb (0.5000, 0.1223, 0.6036)
O (0.5000, 0.7577, 0.4324)
O (0.5000, 0.2423, 0.9324)
Ta (0.0000, 0.5931, 0.4198)
Ta (0.0000, 0.4069, 0.9198)

ΔE to the lowest computed polymorph, meV/atom: 0
Calculated density, g/cm3: 9.67
Calculated volume, Å³/atom: 15.7
Total moment, μB per cell: 0.0

---

RbLiZrTe3 after structural relaxation. Source: the Open Quantum Materials Database, functional PBE.

Lattice parameters (Å, degrees): 8.3305 8.3305 11.2429 90.00 90.00 150.50
Element x y z (fractional)
Li (0.9602, 0.0398, 0.2500)
Li (0.0398, 0.9602, 0.7500)
Rb (0.2466, 0.7534, 0.2500)
Rb (0.7534, 0.2466, 0.7500)
Te (0.8763, 0.1237, 0.0432)
Te (0.5604, 0.4395, 0.2500)
Te (0.8763, 0.1237, 0.4568)
Te (0.1237, 0.8763, 0.5432)
Te (0.4395, 0.5604, 0.7500)
Te (0.1237, 0.8763, 0.9568)
Zr (0.5000, 0.5000, 0.0000)
Zr (0.5000, 0.5000, 0.5000)

ΔE to the lowest computed polymorph, meV/atom: 11
Calculated density, g/cm3: 4.90
Calculated volume, Å³/atom: 32.0
Total moment, μB per cell: 0.0

---

Tb3Cu4Si2Ge2 after structural relaxation. Source: the Open Quantum Materials Database, functional PBE.

Lattice parameters (Å, degrees): 7.9711 7.9711 7.9711 149.43 130.93 58.92
Element x y z (fractional)
Cu (0.3536, 0.1631, 0.1905)
Cu (0.0274, 0.8369, 0.1905)
Cu (0.9726, 0.1631, 0.8095)
Cu (0.6464, 0.8369, 0.8095)
Ge (0.7835, 0.2835, 0.5000)
Ge (0.2165, 0.7165, 0.5000)
Si (0.3168, 0.0000, 0.3168)
Si (0.6832, 0.0000, 0.6832)
Tb (0.3699, 0.3699, 0.0000)
Tb (0.6301, 0.6301, 0.0000)
Tb (0.0000, 0.5000, 0.5000)

ΔE to the lowest computed polymorph, meV/atom: 6
Calculated density, g/cm3: 8.02
Calculated volume, Å³/atom: 17.6
Total moment, μB per cell: 0.0

---

PrNdSeO2 after structural relaxation. Source: the Open Quantum Materials Database, functional PBE.

Lattice parameters (Å, degrees): 4.0055 4.0055 7.0216 90.00 90.00 120.00
Element x y z (fractional)
Nd (0.0000, 0.0000, 0.2879)
O (0.6667, 0.3333, 0.3720)
O (0.0000, 0.0000, 0.6250)
Pr (0.6667, 0.3333, 0.7130)
Se (0.3333, 0.6667, 0.0021)

Calculated density, g/cm3: 6.74
Calculated volume, Å³/atom: 19.5
Uncorrected energy, eV for the cell shown: -37.9
Total moment, μB per cell: 0.0